# 1
CaSi2Ir: relaxed, PBE.

Cell: 3.615 3.728 5.684 Å, 90.00 90.00 90.00°
Element x y z (fractional)
Ca: 0.000 0.000 0.000
Si: 0.500 0.000 0.540
Si: 0.500 0.500 0.261
Ir: 0.000 0.500 0.539

Computed properties:
Energy relative to the elements, uncorrected = -346.7 meV/atom
Calculated total energy = -23.10 eV/f.u.
Space group = Pmm2, No. 25

***

# 2
TeN2Cl: relaxed, PBE.

Cell: 3.474 3.474 18.502 Å, 90.00 90.00 120.00°
Element x y z (fractional)
Te: 0.000 0.000 0.000
Te: 0.333 0.667 0.667
Te: 0.667 0.333 0.333
N: 0.000 0.000 0.392
N: 0.000 0.000 0.608
N: 0.333 0.667 0.058
N: 0.333 0.667 0.275
N: 0.667 0.333 0.725
N: 0.667 0.333 0.942
Cl: 0.000 0.000 0.500
Cl: 0.333 0.667 0.167
Cl: 0.667 0.333 0.833

Computed properties:
Energy relative to the elements, uncorrected = 1140.3 meV/atom
Calculated total energy = -17.08 eV/f.u.
Space group = R-3m, No. 166
Polymorph energy (0 for the lowest one) = 1.214 eV per atom

***

# 3
Sm8DyEr3: relaxed, PBE.

Cell: 6.910 6.910 9.768 Å, 97.13 97.13 119.25°
Element x y z (fractional)
Sm: 0.178 0.682 0.667
Sm: 0.179 0.179 0.164
Sm: 0.318 0.822 0.333
Sm: 0.321 0.321 0.832
Sm: 0.679 0.679 0.168
Sm: 0.682 0.178 0.667
Sm: 0.821 0.821 0.836
Sm: 0.822 0.318 0.333
Dy: 0.500 0.500 0.500
Er: 0.000 0.000 0.500
Er: 0.000 0.500 0.000
Er: 0.500 0.000 0.000

Computed properties:
Calculated total energy = -54.59 eV/f.u.
Space group = C2/m, No. 12
Formation energy = 0.121 eV per atom

***

# 4
Au2Br: relaxed, PBE.

Cell: 3.385 12.728 7.020 Å, 90.00 90.00 90.00°
Element x y z (fractional)
Au: 0.000 0.130 0.250
Au: 0.000 0.208 0.750
Au: 0.000 0.792 0.250
Au: 0.000 0.870 0.750
Au: 0.500 0.292 0.250
Au: 0.500 0.370 0.750
Au: 0.500 0.630 0.250
Au: 0.500 0.708 0.750
Br: 0.000 0.460 0.250
Br: 0.000 0.540 0.750
Br: 0.500 0.040 0.750
Br: 0.500 0.960 0.250

Computed properties:
Energy relative to the elements, uncorrected = 232.3 meV/atom
Calculated total energy = -7.53 eV/f.u.
Space group = Cmcm, No. 63
Polymorph energy (0 for the lowest one) = 0.210 eV per atom

***

# 5
TaTlAsI2: relaxed, PBE.

Cell: 6.160 6.160 4.972 Å, 90.00 90.00 90.00°
Element x y z (fractional)
Ta: 0.000 0.000 0.000
Tl: 0.500 0.500 0.000
As: 0.000 0.000 0.500
I: 0.000 0.500 0.500
I: 0.500 0.000 0.500

Computed properties:
Energy relative to the elements, uncorrected = 678.0 meV/atom
Calculated total energy = -18.58 eV/f.u.
Space group = P4/mmm, No. 123

***

# 6
Tl3FePd12: relaxed, PBE.

Cell: 4.041 4.041 16.113 Å, 90.00 90.00 90.00°
Element x y z (fractional)
Tl: 0.000 0.000 0.000
Tl: 0.000 0.000 0.256
Tl: 0.000 0.000 0.744
Fe: 0.000 0.000 0.500
Pd: 0.000 0.500 0.129
Pd: 0.000 0.500 0.387
Pd: 0.000 0.500 0.613
Pd: 0.000 0.500 0.871
Pd: 0.500 0.000 0.129
Pd: 0.500 0.000 0.387
Pd: 0.500 0.000 0.613
Pd: 0.500 0.000 0.871
Pd: 0.500 0.500 0.000
Pd: 0.500 0.500 0.259
Pd: 0.500 0.500 0.500
Pd: 0.500 0.500 0.741

Computed properties:
Calculated total energy = -80.49 eV/f.u.
Space group = P4/mmm, No. 123
Formation energy = -0.163 eV per atom

***

# 7
Th4OsAu2: relaxed, PBE.

Cell: 12.984 3.943 15.081 Å, 90.00 90.00 90.00°
Element x y z (fractional)
Th: 0.017 0.250 0.198
Th: 0.046 0.250 0.611
Th: 0.194 0.750 0.054
Th: 0.247 0.250 0.800
Th: 0.253 0.750 0.300
Th: 0.306 0.250 0.554
Th: 0.454 0.750 0.111
Th: 0.483 0.750 0.698
Th: 0.517 0.250 0.302
Th: 0.546 0.250 0.889
Th: 0.694 0.750 0.446
Th: 0.747 0.250 0.700
Th: 0.753 0.750 0.200
Th: 0.806 0.250 0.946
Th: 0.954 0.750 0.389
Th: 0.983 0.750 0.802
Os: 0.197 0.750 0.674
Os: 0.303 0.250 0.174
Os: 0.697 0.750 0.826
Os: 0.803 0.250 0.326
Au: 0.061 0.250 0.945
Au: 0.129 0.250 0.415
Au: 0.371 0.750 0.915
Au: 0.439 0.750 0.445
Au: 0.561 0.250 0.555
Au: 0.629 0.250 0.085
Au: 0.871 0.750 0.585
Au: 0.939 0.750 0.055

Computed properties:
Calculated total energy = -50.48 eV/f.u.
Space group = Pnma, No. 62
Formation energy = -0.430 eV per atom

***

# 8
MnSb2Pb: relaxed, PBE.

Cell: 4.511 4.131 6.124 Å, 90.00 110.42 90.00°
Element x y z (fractional)
Mn: 0.000 0.000 0.000
Sb: 0.213 0.500 0.793
Sb: 0.787 0.500 0.207
Pb: 0.500 0.000 0.500

Computed properties:
Energy relative to the elements, uncorrected = 176.2 meV/atom
Calculated total energy = -20.42 eV/f.u.
Space group = P2/m, No. 10

***

# 9
BaMn3: relaxed, PBE.

Cell: 4.371 4.371 4.371 Å, 90.00 90.00 90.00°
Element x y z (fractional)
Ba: 0.000 0.000 0.000
Mn: 0.000 0.500 0.500
Mn: 0.500 0.000 0.500
Mn: 0.500 0.500 0.000

Computed properties:
Calculated total energy = -25.37 eV/f.u.
Space group = Pm-3m, No. 221
Polymorph energy (0 for the lowest one) = 0.426 eV per atom
Formation energy = 1.015 eV per atom

***

# 10
CaMn3Co: relaxed, PBE.

Cell: 4.314 4.314 4.314 Å, 90.00 90.00 90.00°
Element x y z (fractional)
Ca: 0.000 0.000 0.000
Mn: 0.000 0.500 0.500
Mn: 0.500 0.000 0.500
Mn: 0.500 0.500 0.000
Co: 0.500 0.500 0.500

Computed properties:
Calculated total energy = -30.98 eV/f.u.
Space group = Pm-3m, No. 221
Polymorph energy (0 for the lowest one) = 0.000 eV per atom
Formation energy = 1.127 eV per atom

***

- Which formula does entry 4 have?
  Au2Br

***

What did the third record say?
Sm8DyEr3: relaxed, PBE.

Cell: 6.910 6.910 9.768 Å, 97.13 97.13 119.25°
Element x y z (fractional)
Sm: 0.178 0.682 0.667
Sm: 0.179 0.179 0.164
Sm: 0.318 0.822 0.333
Sm: 0.321 0.321 0.832
Sm: 0.679 0.679 0.168
Sm: 0.682 0.178 0.667
Sm: 0.821 0.821 0.836
Sm: 0.822 0.318 0.333
Dy: 0.500 0.500 0.500
Er: 0.000 0.000 0.500
Er: 0.000 0.500 0.000
Er: 0.500 0.000 0.000

Computed properties:
Calculated total energy = -54.59 eV/f.u.
Space group = C2/m, No. 12
Formation energy = 0.121 eV per atom

***

- Look up the calculated total energy of the third one.
  -54.59 eV/f.u.